VASP calculation (PBE) on crystalline La2Pm4Ho at its relaxed geometry.

abc: 9.3377 9.3244 6.9259
angles: 100.68 111.81 111.27
Positions (direct):
1 Pm 0.8426 0.3575 0.8906
2 Pm 0.9913 0.7112 0.7988
3 Pm 0.6867 0.7908 0.5200
4 Pm 0.1616 0.5203 0.5140
5 Pm 0.3913 0.9797 0.2437
6 Pm 0.6459 0.7092 0.9792
7 Pm 0.2351 0.1425 0.7832
8 Pm 0.0301 0.7888 0.3376
9 Ho 0.6715 0.4127 0.2422
10 Ho 0.0089 0.0873 0.0795
11 La 0.5158 0.9739 0.8082
12 La 0.4436 0.3599 0.5393
13 La 0.8336 0.1401 0.4294
14 La 0.2919 0.5261 0.0843

=====

VASP calculation (PBE) on crystalline La2Pm5Ho at its relaxed geometry.

abc: 6.5146 12.3185 14.9298
angles: 91.87 77.40 74.67
Positions (direct):
1 La 0.2925 0.0953 0.7308
2 La 0.7374 0.1171 0.0589
3 La 0.9134 0.3829 0.4411
4 La 0.8813 0.5953 0.2308
5 La 0.1187 0.4047 0.7692
6 La 0.0866 0.6171 0.5589
7 La 0.2626 0.8829 0.9411
8 La 0.7075 0.9047 0.2692
9 Pm 0.2003 0.0004 0.1683
10 Pm 0.2952 0.0858 0.4807
11 Pm 0.8005 0.1776 0.6348
12 Pm 0.3778 0.2013 0.2877
13 Pm 0.8669 0.2987 0.2123
14 Pm 0.2585 0.1670 0.9689
15 Pm 0.3944 0.3330 0.5311
16 Pm 0.3690 0.4996 0.3317
17 Pm 0.1383 0.5858 0.9807
18 Pm 0.6129 0.3224 0.8652
19 Pm 0.3871 0.6776 0.1348
20 Pm 0.8617 0.4142 0.0193
21 Pm 0.6310 0.5004 0.6683
22 Pm 0.6056 0.6670 0.4689
23 Pm 0.7415 0.8330 0.0311
24 Pm 0.1331 0.7013 0.7877
25 Pm 0.6222 0.7987 0.7123
26 Pm 0.1995 0.8224 0.3652
27 Pm 0.7048 0.9142 0.5193
28 Pm 0.7997 0.9996 0.8317
29 Ho 0.8462 0.1148 0.3873
30 Ho 0.3482 0.3852 0.1127
31 Ho 0.6518 0.6148 0.8873
32 Ho 0.1538 0.8852 0.6127

=====

Number 1: calculated formation energy 74 kJ/mol of formula units, magnetic moment 0.0 μB per cell. Number 2: calculated formation energy 67 kJ/mol of formula units, magnetic moment 0.0 μB per cell.